{"formula": "CsAcAgCl6", "functional": "PBE-GGA", "state": "optimized geometry", "sg": "Imma", "e_form_raw_ev_per_atom": -1.624, "magmom_total_mub_per_atom": 0.000, "crystal_system": "orthorhombic", "lattice": [[-0.886, -8.383, 4.328], [4.848, -4.345, -7.424], [3.554, 7.348, 4.586]], "species": ["Cs", "Cs", "Ac", "Ac", "Ag", "Ag", "Cl", "Cl", "Cl", "Cl", "Cl", "Cl", "Cl", "Cl", "Cl", "Cl", "Cl", "Cl"], "fractional_positions": [[0.824, 0.574, 0.648], [0.176, 0.426, 0.352], [0.500, 0.000, 0.500], [0.000, 0.000, 0.500], [0.500, 0.500, 0.000], [0.500, 0.000, 0.000], [0.608, 0.858, 0.217], [0.887, 0.137, 0.775], [0.831, 0.162, 0.275], [0.444, 0.613, 0.275], [0.444, 0.162, 0.275], [0.831, 0.613, 0.275], [0.392, 0.142, 0.783], [0.113, 0.863, 0.225], [0.169, 0.838, 0.725], [0.556, 0.387, 0.725], [0.556, 0.838, 0.725], [0.169, 0.387, 0.725]]}

---

{"formula": "Ac3AgIrCl", "functional": "PBE-GGA", "state": "optimized geometry", "sg": "P2_1/m", "e_form_raw_ev_per_atom": -0.800, "magmom_total_mub_per_atom": 0.000, "crystal_system": "monoclinic", "lattice": [[4.492, 0.000, 0.000], [0.000, 8.922, 0.897], [0.000, -2.561, 9.666]], "species": ["Ac", "Ac", "Ac", "Ac", "Ac", "Ac", "Ag", "Ag", "Ir", "Ir", "Cl", "Cl"], "fractional_positions": [[0.250, 0.715, 0.453], [0.750, 0.872, 0.116], [0.750, 0.436, 0.155], [0.750, 0.285, 0.547], [0.250, 0.564, 0.845], [0.250, 0.128, 0.884], [0.750, 0.805, 0.752], [0.250, 0.195, 0.248], [0.250, 0.662, 0.148], [0.750, 0.338, 0.852], [0.250, 0.070, 0.592], [0.750, 0.930, 0.408]]}

---

{"formula": "NaAcAg2Cl8", "functional": "PBE-GGA", "state": "optimized geometry", "sg": "I-4", "e_form_raw_ev_per_atom": -1.204, "magmom_total_mub_per_atom": 0.003, "crystal_system": "tetragonal", "lattice": [[6.932, 0.000, 0.000], [0.000, 6.932, 0.000], [-3.466, -3.466, 6.831]], "species": ["Na", "Ac", "Ag", "Ag", "Cl", "Cl", "Cl", "Cl", "Cl", "Cl", "Cl", "Cl"], "fractional_positions": [[0.750, 0.250, 0.500], [0.000, 0.000, 0.000], [0.500, 0.500, 0.000], [0.250, 0.750, 0.500], [0.721, 0.860, 0.131], [0.411, 0.271, 0.131], [0.613, 0.658, 0.633], [0.020, 0.975, 0.633], [0.025, 0.387, 0.367], [0.342, 0.980, 0.367], [0.140, 0.589, 0.869], [0.729, 0.279, 0.869]]}

---

{"formula": "Na2AcAgCl6", "functional": "PBE-GGA", "state": "optimized geometry", "sg": "P1", "e_form_raw_ev_per_atom": -1.753, "magmom_total_mub_per_atom": 0.000, "crystal_system": "triclinic", "lattice": [[7.190, 0.001, 0.010], [3.596, 6.211, -0.002], [3.604, 2.064, 6.429]], "species": ["Na", "Na", "Ac", "Ag", "Cl", "Cl", "Cl", "Cl", "Cl", "Cl"], "fractional_positions": [[0.517, 0.517, 0.450], [0.019, 0.020, 0.943], [0.817, 0.817, 0.549], [0.311, 0.310, 0.069], [0.611, 0.221, 0.249], [0.221, 0.920, 0.249], [0.920, 0.610, 0.249], [0.411, 0.717, 0.752], [0.716, 0.119, 0.754], [0.119, 0.411, 0.752]]}

---

{"formula": "Ac6AgOs2Cl3", "functional": "PBE-GGA", "state": "optimized geometry", "sg": "C2/m", "e_form_raw_ev_per_atom": -0.899, "magmom_total_mub_per_atom": 0.000, "crystal_system": "monoclinic", "lattice": [[7.636, -0.013, 0.020], [-3.827, 6.608, 0.020], [-1.250, -2.164, 8.009]], "species": ["Ac", "Ac", "Ac", "Ac", "Ac", "Ac", "Ag", "Os", "Os", "Cl", "Cl", "Cl"], "fractional_positions": [[0.934, 0.573, 0.794], [0.704, 0.704, 0.206], [0.066, 0.427, 0.206], [0.573, 0.934, 0.794], [0.296, 0.296, 0.794], [0.427, 0.066, 0.206], [0.000, 0.000, 0.000], [0.334, 0.666, 0.000], [0.666, 0.334, 0.000], [0.179, 0.821, 0.500], [0.821, 0.179, 0.500], [0.500, 0.500, 0.500]]}

---

{"formula": "AcAgPbCl6", "functional": "PBE-GGA", "state": "optimized geometry", "sg": "P4_2nm", "e_form_raw_ev_per_atom": -1.536, "magmom_total_mub_per_atom": 0.000, "crystal_system": "tetragonal", "lattice": [[6.735, 0.000, 0.000], [0.000, 6.735, 0.000], [0.000, 0.000, 13.038]], "species": ["Ac", "Ac", "Ag", "Ag", "Pb", "Pb", "Cl", "Cl", "Cl", "Cl", "Cl", "Cl", "Cl", "Cl", "Cl", "Cl", "Cl", "Cl"], "fractional_positions": [[0.500, 0.500, 0.834], [0.000, 0.000, 0.334], [0.500, 0.500, 0.165], [0.000, 0.000, 0.665], [0.500, 0.500, 0.500], [0.000, 0.000, 0.000], [0.195, 0.805, 0.506], [0.805, 0.195, 0.506], [0.305, 0.305, 0.006], [0.695, 0.695, 0.006], [0.201, 0.799, 0.168], [0.799, 0.201, 0.168], [0.299, 0.299, 0.668], [0.701, 0.701, 0.668], [0.805, 0.195, 0.827], [0.195, 0.805, 0.827], [0.695, 0.695, 0.327], [0.305, 0.305, 0.327]]}

---

{"formula": "Rb2AcAgCl6", "functional": "PBE-GGA", "state": "optimized geometry", "sg": "P2_1/c", "e_form_raw_ev_per_atom": -1.846, "magmom_total_mub_per_atom": 0.000, "crystal_system": "monoclinic", "lattice": [[7.703, 0.000, 0.030], [0.000, 8.046, 0.000], [0.117, 0.000, 10.766]], "species": ["Rb", "Rb", "Rb", "Rb", "Ac", "Ac", "Ag", "Ag", "Cl", "Cl", "Cl", "Cl", "Cl", "Cl", "Cl", "Cl", "Cl", "Cl", "Cl", "Cl"], "fractional_positions": [[0.020, 0.935, 0.251], [0.520, 0.565, 0.751], [0.980, 0.065, 0.749], [0.480, 0.435, 0.249], [0.500, 0.000, 0.500], [0.000, 0.500, 0.000], [0.500, 0.000, 0.000], [0.000, 0.500, 0.500], [0.300, 0.701, 0.049], [0.800, 0.799, 0.549], [0.700, 0.299, 0.951], [0.200, 0.201, 0.451], [0.300, 0.705, 0.452], [0.800, 0.795, 0.952], [0.700, 0.295, 0.548], [0.200, 0.205, 0.048], [0.904, 0.528, 0.259], [0.404, 0.972, 0.759], [0.096, 0.472, 0.741], [0.596, 0.028, 0.241]]}

---

{"formula": "RbAcAg2Cl6", "functional": "PBE-GGA", "state": "optimized geometry", "sg": "P1", "e_form_raw_ev_per_atom": -1.524, "magmom_total_mub_per_atom": 0.000, "crystal_system": "triclinic", "lattice": [[-1.376, 7.196, 0.781], [-2.888, -3.698, -5.666], [-3.412, -4.971, 4.988]], "species": ["Rb", "Ac", "Ag", "Ag", "Cl", "Cl", "Cl", "Cl", "Cl", "Cl"], "fractional_positions": [[0.032, 0.516, 0.533], [0.994, 0.996, 0.976], [0.593, 0.796, 0.375], [0.613, 0.307, 0.906], [0.555, 0.978, 0.676], [0.477, 0.059, 0.162], [0.758, 0.698, 0.161], [0.117, 0.417, 0.163], [0.712, 0.576, 0.675], [0.112, 0.134, 0.675]]}